(1)
A plane-wave DFT calculation with PBE-GGA was carried out for an optimized crystal structure of NdSmThTc.

Unit cell a=4.6191 b=4.6191 c=7.1263 alpha=89.98 beta=108.91 gamma=120.04
Positions (direct):
Nd1 0.9476 0.8389 0.7866
Sm1 0.3739 0.0513 0.4252
Th1 0.8288 0.2787 0.1075
Tc1 0.5417 0.6355 0.1773

## Properties
formation enthalpy at 0 K	0.158	eV/atom

---

(2)
A plane-wave DFT calculation with PBE-GGA was carried out for an optimized crystal structure of PaSb3.

Unit cell a=4.5835 b=4.2476 c=11.4619 alpha=100.68 beta=90.00 gamma=90.00
Positions (direct):
Pa1 0.2500 0.5724 0.1447
Pa2 0.7500 0.4276 0.8553
Sb1 0.2500 0.1795 0.3590
Sb2 0.7500 0.8205 0.6410
Sb3 0.7500 0.0511 0.1022
Sb4 0.2500 0.9489 0.8978
Sb5 0.7500 0.6766 0.3531
Sb6 0.2500 0.3234 0.6469

## Properties
energy relative to the lowest polymorph listed for this composition	0.26	eV per formula unit

---

(3)
A plane-wave DFT calculation with PBE-GGA was carried out for an optimized crystal structure of AcGe2Pb.

Unit cell a=4.4534 b=4.9121 c=4.9121 alpha=90.00 beta=90.00 gamma=90.00
Positions (direct):
Pb1 0.5000 0.0000 0.0000
Ac1 0.5000 0.5000 0.5000
Ge1 0.0000 0.0000 0.5000
Ge2 0.0000 0.5000 0.0000

## Properties
formation enthalpy at 0 K	-0.329	eV/atom
energy relative to the lowest polymorph listed for this composition	0.09	eV per formula unit

---

(4)
A plane-wave DFT calculation with PBE-GGA was carried out for an optimized crystal structure of K2Mn2I7.

Unit cell a=7.9525 b=9.0268 c=9.0268 alpha=120.28 beta=94.73 gamma=94.73
Site moments in Bohr magnetons follow the coordinates.
Positions (direct):
K1 0.5000 0.3152 0.6848  0.00
K2 0.5000 0.6848 0.3152  0.00
Mn1 0.8748 0.2732 0.2732  4.04
Mn2 0.1252 0.7268 0.7268  4.04
I1 0.2572 0.9391 0.6289  0.02
I2 0.7428 0.3711 0.0609  0.02
I3 0.7428 0.0609 0.3711  0.02
I4 0.2572 0.6289 0.9391  0.02
I5 0.0000 0.0000 0.0000  -0.06
I6 0.7884 0.5716 0.5716  0.02
I7 0.2116 0.4284 0.4284  0.02

## Properties
VASP energy	-39.4	eV per cell

---

(5)
A plane-wave DFT calculation with PBE-GGA was carried out for an optimized crystal structure of Pu2U5S12.

Unit cell a=7.2414 b=8.4297 c=8.8360 alpha=105.48 beta=90.00 gamma=115.44
Site moments in Bohr magnetons follow the coordinates.
Positions (direct):
Pu1 0.7465 0.0000 0.0000  5.00
Pu2 0.2535 0.0000 0.0000  5.00
U1 0.2975 0.5950 0.6419  -2.19
U2 0.3163 0.6327 0.1739  -2.32
U3 0.0000 0.0000 0.5000  -2.01
U4 0.6837 0.3673 0.8261  -2.32
U5 0.7025 0.4050 0.3581  -2.19
S1 0.9678 0.9356 0.1969  -0.03
S2 0.0889 0.6314 0.8964  0.03
S3 0.5425 0.6314 0.8964  0.03
S4 0.1010 0.7032 0.4432  0.07
S5 0.6022 0.7032 0.4432  0.07
S6 0.4955 0.9910 0.7625  -0.02
S7 0.5045 0.0090 0.2375  -0.02
S8 0.8990 0.2968 0.5568  0.07
S9 0.3978 0.2968 0.5568  0.07
S10 0.9111 0.3686 0.1036  0.03
S11 0.4575 0.3686 0.1036  0.03
S12 0.0322 0.0644 0.8031  -0.03

## Properties
VASP energy	-159.9	eV per cell

---

(6)
A plane-wave DFT calculation with PBE-GGA was carried out for an optimized crystal structure of La4CeMg3.

Unit cell a=3.6988 b=3.6988 c=18.2006 alpha=90.00 beta=90.00 gamma=90.00
Positions (direct):
Mg1 0.5000 0.5000 0.2541
Mg2 0.5000 0.5000 0.5000
Mg3 0.5000 0.5000 0.7459
Ce1 0.5000 0.5000 0.0000
La1 0.0000 0.0000 0.8718
La2 0.0000 0.0000 0.1282
La3 0.0000 0.0000 0.3777
La4 0.0000 0.0000 0.6223

## Properties
formation enthalpy at 0 K	-0.051	eV/atom

---

| no. | DOS(E_F) (states/eV/atom) |
| --- | --- |
| 1 | 1.280 |
| 2 | 1.141 |
| 3 | 0.501 |
| 4 | 0.015 |
| 5 | 3.075 |
| 6 | 1.232 |